{"formula": "La2PmTe2Se2", "functional": "PBE-GGA", "state": "optimized geometry", "lattice": [[5.460, 0.000, 0.000], [0.000, 5.460, 0.000], [0.000, 0.000, 16.211]], "species": ["La", "La", "La", "La", "Pm", "Pm", "Te", "Te", "Te", "Te", "Se", "Se", "Se", "Se"], "fractional_positions": [[0.000, 0.000, 0.117], [0.000, 0.000, 0.883], [0.500, 0.500, 0.383], [0.500, 0.500, 0.617], [0.000, 0.000, 0.500], [0.500, 0.500, 0.000], [0.000, 0.000, 0.312], [0.000, 0.000, 0.688], [0.500, 0.500, 0.188], [0.500, 0.500, 0.812], [0.000, 0.500, 0.000], [0.000, 0.500, 0.500], [0.500, 0.000, 0.000], [0.500, 0.000, 0.500]], "e_tot_ev_per_atom": -5.428, "raw_formation_energy_ev_per_atom": -1.448, "dos_ef_per_ev_atom": 0.431, "crystal_system": "tetragonal"}